No. 1
The following is a DFT calculation (PBE) of crystalline CaLa2Rh at its relaxed geometry.

The value obtained for the formation energy is -0.036 eV per atom. The value obtained for the offset from the most stable computed form is 369 meV per atom. Its total DFT energy (no corrections) is -77.40 eV for the cell shown.

The structure belongs to space group Fm-3m (No. 225); the cell edges are 7.6295, 7.6295 and 7.6295 Å and the angles 90.00°, 90.00° and 90.00°. The distinct sites, in fractional coordinates, are Ca at (0.0000, 0.0000, 0.0000), La at (0.2500, 0.2500, 0.2500) and Rh at (0.0000, 0.0000, 0.5000).

---

No. 2
The following is a DFT calculation (PBE) of crystalline HfTi4Se10 at its relaxed geometry.

As for the formation energy without anion corrections: -1152 meV per atom. Its total DFT energy (no corrections) is -93.65 eV for the cell shown.

The structure belongs to space group P-3m1 (No. 164); the cell edges are 3.5904, 3.5904 and 33.0234 Å and the angles 90.00°, 90.00° and 120.00°. The distinct sites, in fractional coordinates, are Hf at (0.0000, 0.0000, 0.0000), Ti at (0.0000, 0.0000, 0.2015), Ti at (0.0000, 0.0000, 0.4000), Se at (0.3333, 0.6667, 0.0501), Se at (0.3333, 0.6667, 0.2478), Se at (0.3333, 0.6667, 0.4463), Se at (0.3333, 0.6667, 0.6463) and Se at (0.3333, 0.6667, 0.8449).

---

No. 3
The following is a DFT calculation (PBE) of crystalline Li2CaTl3 at its relaxed geometry.

The value obtained for the formation energy is -0.276 eV per atom. Its total DFT energy (no corrections) is -14.58 eV for the cell shown.

The structure belongs to space group P4/mmm (No. 123); the cell edges are 3.6754, 3.6754 and 10.6125 Å and the angles 90.00°, 90.00° and 90.00°. The distinct sites, in fractional coordinates, are Li at (0.0000, 0.0000, 0.1521), Ca at (0.0000, 0.0000, 0.5000), Tl at (0.5000, 0.5000, 0.0000) and Tl at (0.5000, 0.5000, 0.3019).

---

No. 4
The following is a DFT calculation (PBE) of crystalline La4GeN2 at its relaxed geometry.

As for the formation energy without anion corrections: -604 meV per atom. The value obtained for the offset from the most stable computed form is 403 meV per atom. Its total DFT energy (no corrections) is -90.41 eV for the cell shown.

The structure belongs to space group I4/mmm (No. 139); the cell edges are 5.7489, 5.7489 and 12.1431 Å and the angles 90.00°, 90.00° and 90.00°. The distinct sites, in fractional coordinates, are La at (0.0000, 0.0000, 0.2411), La at (0.0000, 0.5000, 0.0000), Ge at (0.0000, 0.0000, 0.5000) and N at (0.0000, 0.0000, 0.0548).

---

No. 5
The following is a DFT calculation (PBE) of crystalline Pm3Zn4Pt2 at its relaxed geometry.

The value obtained for the formation energy is -0.708 eV per atom. Its total DFT energy (no corrections) is -75.61 eV for the cell shown.

The structure belongs to space group C2/m (No. 12); the cell edges are 10.8686, 4.4558 and 8.5801 Å and the angles 90.00°, 113.19° and 90.00°. The distinct sites, in fractional coordinates, are Pm at (0.0000, 0.0000, 0.0000), Pm at (0.1802, 0.5000, 0.6490), Zn at (0.0339, 0.0000, 0.3734), Zn at (0.2196, 0.5000, 0.0513) and Pt at (0.1013, 0.5000, 0.2680).

---

No. 6
The following is a DFT calculation (PBE) of crystalline Sm2ErPt at its relaxed geometry.

The value obtained for the formation energy is -0.676 eV per atom. The value obtained for the offset from the most stable computed form is 0 meV per atom. Its total DFT energy (no corrections) is -90.98 eV for the cell shown.

The structure belongs to space group Pnma (No. 62); the cell edges are 7.0909, 9.8389 and 6.5335 Å and the angles 90.00°, 90.00° and 90.00°. The distinct sites, in fractional coordinates, are Sm at (0.1829, 0.0607, 0.1781), Er at (0.0307, 0.2500, 0.6395) and Pt at (0.1130, 0.7500, 0.9545).

---

Record-wise N(E_F) values, in states/eV per cell: 24.27; 2.22; 3.12; 7.75; 11.22; 15.49